Na6Mn2B4AsO16, relaxed, DFT GGA-PBEsol; density of states at the Fermi level = 32.95 states/eV/cell; energy relative to the elements, uncorrected = -55.055 eV per formula unit; total moment = 0.205 μB per atom; calculated total energy = -6.90 eV/atom
1.0
0.0000 6.9012 6.9012
6.9012 0.0000 6.9012
6.9012 6.9012 0.0000
Na Mn B As O
12 4 8 2 32
direct
0.0912 0.0912 0.6588 Na
0.0912 0.6588 0.0912 Na
0.0912 0.6588 0.6588 Na
0.3412 0.3412 0.9088 Na
0.3412 0.9088 0.3412 Na
0.3412 0.9088 0.9088 Na
0.6588 0.0912 0.0912 Na
0.6588 0.0912 0.6588 Na
0.6588 0.6588 0.0912 Na
0.9088 0.3412 0.3412 Na
0.9088 0.3412 0.9088 Na
0.9088 0.9088 0.3412 Na
0.0000 0.5000 0.5000 Mn
0.5000 0.0000 0.5000 Mn
0.5000 0.5000 0.0000 Mn
0.5000 0.5000 0.5000 Mn
0.2911 0.2911 0.2911 B
0.2911 0.2911 0.6267 B
0.2911 0.6267 0.2911 B
0.3733 0.7089 0.7089 B
0.6267 0.2911 0.2911 B
0.7089 0.3733 0.7089 B
0.7089 0.7089 0.3733 B
0.7089 0.7089 0.7089 B
0.1250 0.1250 0.1250 As
0.8750 0.8750 0.8750 As
0.0534 0.0534 0.0534 O
0.0534 0.0534 0.3398 O
0.0534 0.3398 0.0534 O
0.1337 0.3234 0.6329 O
0.1337 0.4100 0.3234 O
0.1337 0.6329 0.4100 O
0.3234 0.1337 0.4100 O
0.3234 0.4100 0.6329 O
0.3234 0.6329 0.1337 O
0.3398 0.0534 0.0534 O
0.3671 0.5900 0.8663 O
0.3671 0.6766 0.5900 O
0.3671 0.8663 0.6766 O
0.4100 0.1337 0.6329 O
0.4100 0.3234 0.1337 O
0.4100 0.6329 0.3234 O
0.5900 0.3671 0.6766 O
0.5900 0.6766 0.8663 O
0.5900 0.8663 0.3671 O
0.6329 0.1337 0.3234 O
0.6329 0.3234 0.4100 O
0.6329 0.4100 0.1337 O
0.6602 0.9466 0.9466 O
0.6766 0.3671 0.8663 O
0.6766 0.5900 0.3671 O
0.6766 0.8663 0.5900 O
0.8663 0.3671 0.5900 O
0.8663 0.5900 0.6766 O
0.8663 0.6766 0.3671 O
0.9466 0.6602 0.9466 O
0.9466 0.9466 0.6602 O
0.9466 0.9466 0.9466 O